#w
An optimized crystal structure of CsScPS2, computed with GGA-PBE.

It has space group P4/mmm (No. 123), with a = 5.1120 Å, b = 5.1120 Å, c = 5.2359 Å, α = 90.00°, β = 90.00° and γ = 90.00°. The inequivalent atoms are Cs at (0.0000, 0.0000, 0.0000), Sc at (0.5000, 0.5000, 0.5000), P at (0.5000, 0.5000, 0.0000) and S at (0.0000, 0.5000, 0.5000).

The value obtained for the volume is 136.83 Å³ per cell.

#x
An optimized crystal structure of CsScPS2, computed with GGA-PBE.

It has space group P4/mmm (No. 123), with a = 5.1743 Å, b = 5.1743 Å, c = 5.5860 Å, α = 90.00°, β = 90.00° and γ = 90.00°. The inequivalent atoms are Cs at (0.0000, 0.0000, 0.0000), Sc at (0.5000, 0.5000, 0.5000), P at (0.0000, 0.0000, 0.5000) and S at (0.0000, 0.5000, 0.0000).

The value obtained for the volume is 149.56 Å³ per cell.

Which structure wins on stability? #w wins.

#w
An optimized crystal structure of CsP2SeS, computed with GGA-PBE.

It has space group P4/mmm (No. 123), with a = 6.9904 Å, b = 6.9904 Å, c = 5.7434 Å, α = 90.00°, β = 90.00° and γ = 90.00°. The inequivalent atoms are Cs at (0.0000, 0.0000, 0.0000), P at (0.0000, 0.5000, 0.0000), Se at (0.5000, 0.5000, 0.5000) and S at (0.0000, 0.0000, 0.5000).

The value obtained for the volume is 280.65 Å³ per cell.

#x
An optimized crystal structure of CsP2SeS, computed with GGA-PBE.

It has space group P4/mmm (No. 123), with a = 5.1173 Å, b = 5.1173 Å, c = 5.2030 Å, α = 90.00°, β = 90.00° and γ = 90.00°. The inequivalent atoms are Cs at (0.0000, 0.0000, 0.0000), P at (0.0000, 0.5000, 0.5000), Se at (0.5000, 0.5000, 0.5000) and S at (0.5000, 0.5000, 0.0000).

The value obtained for the volume is 136.25 Å³ per cell.

Which structure wins on stability? #x wins.

#w
An optimized crystal structure of CsPSeS2, computed with GGA-PBE.

It has space group P4/mmm (No. 123), with a = 5.4064 Å, b = 5.4064 Å, c = 7.4728 Å, α = 90.00°, β = 90.00° and γ = 90.00°. The inequivalent atoms are Cs at (0.0000, 0.0000, 0.0000), P at (0.0000, 0.0000, 0.5000), Se at (0.5000, 0.5000, 0.5000) and S at (0.0000, 0.5000, 0.0000).

The value obtained for the volume is 218.43 Å³ per cell.

#x
An optimized crystal structure of CsPSeS2, computed with GGA-PBE.

It has space group P4/mmm (No. 123), with a = 5.1255 Å, b = 5.1255 Å, c = 4.9465 Å, α = 90.00°, β = 90.00° and γ = 90.00°. The inequivalent atoms are Cs at (0.0000, 0.0000, 0.0000), P at (0.5000, 0.5000, 0.0000), Se at (0.5000, 0.5000, 0.5000) and S at (0.0000, 0.5000, 0.5000).

The value obtained for the volume is 129.95 Å³ per cell.

Which structure wins on stability? #x wins.

#w
An optimized crystal structure of CsSiPS2, computed with GGA-PBE.

It has space group P4/mmm (No. 123), with a = 5.3241 Å, b = 5.3241 Å, c = 5.7209 Å, α = 90.00°, β = 90.00° and γ = 90.00°. The inequivalent atoms are Cs at (0.0000, 0.0000, 0.0000), Si at (0.5000, 0.5000, 0.5000), P at (0.0000, 0.0000, 0.5000) and S at (0.0000, 0.5000, 0.0000).

The value obtained for the volume is 162.17 Å³ per cell.

#x
An optimized crystal structure of CsSiPS2, computed with GGA-PBE.

It has space group P4/mmm (No. 123), with a = 4.9418 Å, b = 4.9418 Å, c = 4.6529 Å, α = 90.00°, β = 90.00° and γ = 90.00°. The inequivalent atoms are Cs at (0.0000, 0.0000, 0.0000), Si at (0.5000, 0.5000, 0.5000), P at (0.5000, 0.5000, 0.0000) and S at (0.0000, 0.5000, 0.5000).

The value obtained for the volume is 113.63 Å³ per cell.

Which structure wins on stability? #x wins.

#w
An optimized crystal structure of CsSnP2S, computed with GGA-PBE.

It has space group P4/mmm (No. 123), with a = 5.6162 Å, b = 5.6162 Å, c = 5.2892 Å, α = 90.00°, β = 90.00° and γ = 90.00°. The inequivalent atoms are Cs at (0.0000, 0.0000, 0.0000), Sn at (0.5000, 0.5000, 0.5000), P at (0.0000, 0.5000, 0.0000) and S at (0.0000, 0.0000, 0.5000).

The value obtained for the volume is 166.83 Å³ per cell.

#x
An optimized crystal structure of CsSnP2S, computed with GGA-PBE.

It has space group P4/mmm (No. 123), with a = 5.2862 Å, b = 5.2862 Å, c = 5.3389 Å, α = 90.00°, β = 90.00° and γ = 90.00°. The inequivalent atoms are Cs at (0.0000, 0.0000, 0.0000), Sn at (0.5000, 0.5000, 0.5000), P at (0.0000, 0.5000, 0.5000) and S at (0.5000, 0.5000, 0.0000).

The value obtained for the volume is 149.19 Å³ per cell.

Which structure wins on stability? #x wins.

#w
An optimized crystal structure of CsSnPS2, computed with GGA-PBE.

It has space group P4/mmm (No. 123), with a = 5.2566 Å, b = 5.2566 Å, c = 5.2838 Å, α = 90.00°, β = 90.00° and γ = 90.00°. The inequivalent atoms are Cs at (0.0000, 0.0000, 0.0000), Sn at (0.5000, 0.5000, 0.5000), P at (0.5000, 0.5000, 0.0000) and S at (0.0000, 0.5000, 0.5000).

The value obtained for the volume is 146.00 Å³ per cell.

#x
An optimized crystal structure of CsSnPS2, computed with GGA-PBE.

It has space group P4/mmm (No. 123), with a = 5.3394 Å, b = 5.3394 Å, c = 5.6658 Å, α = 90.00°, β = 90.00° and γ = 90.00°. The inequivalent atoms are Cs at (0.0000, 0.0000, 0.0000), Sn at (0.5000, 0.5000, 0.5000), P at (0.0000, 0.0000, 0.5000) and S at (0.0000, 0.5000, 0.0000).

The value obtained for the volume is 161.53 Å³ per cell.

Which structure wins on stability? #w wins.